1.
# CrMo2Pb (PBE, relaxed)
data_CrMo2Pb
_symmetry_space_group_name_H-M 'I m m 2'
_symmetry_Int_Tables_number 44
_symmetry_space_group_name_Hall 'I 2 -2'
_cell_length_a 3.3205
_cell_length_b 4.5107
_cell_length_c 8.8634
_cell_angle_alpha 90.00
_cell_angle_beta 90.00
_cell_angle_gamma 90.00
loop_
_atom_site_label
_atom_site_type_symbol
_atom_site_fract_x
_atom_site_fract_y
_atom_site_fract_z
_atom_site_occupancy
Cr1 Cr 0.0000 0.0000 0.0000 1
Mo1 Mo 0.0000 0.0000 0.4741 1
Mo2 Mo 0.0000 0.5000 0.7237 1
Pb1 Pb 0.0000 0.5000 0.2448 1
# Crystal system: orthorhombic
# Formation energy (meV per atom): 594

=====

2.
# Sr8Cd2Au (PBE, relaxed)
data_Sr8Cd2Au
_symmetry_space_group_name_H-M 'C 1 2/m 1'
_symmetry_Int_Tables_number 12
_symmetry_space_group_name_Hall '-C 2y'
_cell_length_a 20.7669
_cell_length_b 5.7732
_cell_length_c 7.8117
_cell_angle_alpha 90.00
_cell_angle_beta 106.01
_cell_angle_gamma 90.00
loop_
_atom_site_label
_atom_site_type_symbol
_atom_site_fract_x
_atom_site_fract_y
_atom_site_fract_z
_atom_site_occupancy
Sr1 Sr 0.0285 0.0000 0.2934 1
Sr2 Sr 0.0920 0.5000 0.9314 1
Sr3 Sr 0.1555 0.5000 0.4677 1
Sr4 Sr 0.2116 0.0000 0.8132 1
Cd1 Cd 0.1853 0.0000 0.2262 1
Au1 Au 0.0000 0.5000 0.5000 1
# Crystal system: monoclinic
# Formation energy (meV per atom): -240
# Energy above the most stable polymorph in this dataset (kJ/mol of formula units): 0.0

=====

3.
# CeDy2Os (PBE, relaxed)
data_CeDy2Os
_symmetry_space_group_name_H-M 'P 4/m m m'
_symmetry_Int_Tables_number 123
_symmetry_space_group_name_Hall '-P 4 2'
_cell_length_a 3.3981
_cell_length_b 3.3981
_cell_length_c 9.1926
_cell_angle_alpha 90.00
_cell_angle_beta 90.00
_cell_angle_gamma 90.00
loop_
_atom_site_label
_atom_site_type_symbol
_atom_site_fract_x
_atom_site_fract_y
_atom_site_fract_z
_atom_site_occupancy
Ce1 Ce 0.0000 0.0000 0.0000 1
Dy1 Dy 0.5000 0.5000 0.3193 1
Os1 Os 0.0000 0.0000 0.5000 1
# Crystal system: tetragonal
# Formation energy (meV per atom): -63
# Energy above the most stable polymorph in this dataset (kJ/mol of formula units): 65.5

=====

4.
# Pm6Te3As2I (PBE, relaxed)
data_Pm6Te3As2I
_symmetry_space_group_name_H-M 'C 1 2/m 1'
_symmetry_Int_Tables_number 12
_symmetry_space_group_name_Hall '-C 2y'
_cell_length_a 19.1833
_cell_length_b 4.3690
_cell_length_c 8.8837
_cell_angle_alpha 90.00
_cell_angle_beta 102.86
_cell_angle_gamma 90.00
loop_
_atom_site_label
_atom_site_type_symbol
_atom_site_fract_x
_atom_site_fract_y
_atom_site_fract_z
_atom_site_occupancy
Pm1 Pm 0.0163 0.0000 0.2743 1
Pm2 Pm 0.1734 0.5000 0.5688 1
Pm3 Pm 0.1774 0.5000 0.1223 1
Te1 Te 0.0000 0.5000 0.5000 1
Te2 Te 0.1577 0.0000 0.8381 1
As1 As 0.1703 0.0000 0.3391 1
I1 I 0.0000 0.5000 0.0000 1
# Crystal system: monoclinic
# Uncorrected formation energy (eV/atom): -1.391

=====

5.
# Sb2Te3 (PBE, relaxed)
data_Sb2Te3
_symmetry_space_group_name_H-M 'R -3 m'
_symmetry_Int_Tables_number 166
_symmetry_space_group_name_Hall '-R 3 2"'
_cell_length_a 4.3378
_cell_length_b 4.3378
_cell_length_c 31.1230
_cell_angle_alpha 90.00
_cell_angle_beta 90.00
_cell_angle_gamma 120.00
loop_
_atom_site_label
_atom_site_type_symbol
_atom_site_fract_x
_atom_site_fract_y
_atom_site_fract_z
_atom_site_occupancy
Sb1 Sb 0.0000 0.0000 0.1028 1
Te1 Te 0.0000 0.0000 0.2854 1
Te2 Te 0.0000 0.0000 0.5000 1
# Crystal system: trigonal
# Uncorrected formation energy (eV/atom): -0.128

=====

6.
# Ti3VCo (PBE, relaxed)
data_Ti3VCo
_symmetry_space_group_name_H-M 'P 1 21/c 1'
_symmetry_Int_Tables_number 14
_symmetry_space_group_name_Hall '-P 2ybc'
_cell_length_a 8.2016
_cell_length_b 4.6624
_cell_length_c 9.1766
_cell_angle_alpha 90.00
_cell_angle_beta 120.29
_cell_angle_gamma 90.00
loop_
_atom_site_label
_atom_site_type_symbol
_atom_site_fract_x
_atom_site_fract_y
_atom_site_fract_z
_atom_site_occupancy
Ti1 Ti 0.0093 0.1141 0.3527 1
Ti2 Ti 0.3111 0.5124 0.4895 1
Ti3 Ti 0.3564 0.0065 0.6897 1
V1 V 0.3570 0.5027 0.8609 1
Co1 Co 0.0799 0.1415 0.1234 1
# Crystal system: monoclinic
# Formation energy (meV per atom): -73
# Energy above the most stable polymorph in this dataset (kJ/mol of formula units): 0.0

=====

7.
# Pm3Nd2Y6 (PBE, relaxed)
data_Pm3Nd2Y6
_symmetry_space_group_name_H-M 'I 4/m m m'
_symmetry_Int_Tables_number 139
_symmetry_space_group_name_Hall '-I 4 2'
_cell_length_a 4.7869
_cell_length_b 4.7869
_cell_length_c 33.6601
_cell_angle_alpha 90.00
_cell_angle_beta 90.00
_cell_angle_gamma 90.00
loop_
_atom_site_label
_atom_site_type_symbol
_atom_site_fract_x
_atom_site_fract_y
_atom_site_fract_z
_atom_site_occupancy
Pm1 Pm 0.0000 0.0000 0.0000 1
Pm2 Pm 0.0000 0.0000 0.1998 1
Nd1 Nd 0.0000 0.0000 0.4545 1
Y1 Y 0.0000 0.0000 0.3020 1
Y2 Y 0.0000 0.5000 0.1213 1
# Crystal system: tetragonal
# Formation energy (meV per atom): 268
# Energy above the most stable polymorph in this dataset (kJ/mol of formula units): 89.6

=====

8.
# TmTi2Sb2 (PBE, relaxed)
data_TmTi2Sb2
_symmetry_space_group_name_H-M 'C 1 2/c 1'
_symmetry_Int_Tables_number 15
_symmetry_space_group_name_Hall '-C 2yc'
_cell_length_a 9.1421
_cell_length_b 11.2818
_cell_length_c 5.6206
_cell_angle_alpha 90.00
_cell_angle_beta 124.40
_cell_angle_gamma 90.00
loop_
_atom_site_label
_atom_site_type_symbol
_atom_site_fract_x
_atom_site_fract_y
_atom_site_fract_z
_atom_site_occupancy
Tm1 Tm 0.0000 0.0942 0.2500 1
Ti1 Ti 0.1719 0.4098 0.9663 1
Sb1 Sb 0.0000 0.1881 0.7500 1
Sb2 Sb 0.0000 0.3728 0.2500 1
# Crystal system: monoclinic
# Uncorrected formation energy (eV/atom): -0.352